[1]
Na2H3Au: relaxed, GGA-PBE.

extended XYZ file:
```
12
Lattice="6.0897 -1.2597 0.0000 -1.4953 6.0361 0.0000 -2.2972 -2.3882 5.6507" Properties=species:S:1:pos:R:3 pbc="T T T"
Na 3.3588 3.4919 0.0000
Na 1.2356 1.2845 0.0000
Na -0.7476 3.0181 2.8253
Na 3.0448 -0.6299 2.8253
Au 0.0000 0.0000 3.0372
Au 2.2972 2.3882 2.6135
H 1.0047 -0.9664 4.1275
H -1.0047 0.9664 4.1275
H 2.2972 2.3882 4.3008
H 1.2925 3.3546 1.5232
H 3.3019 1.4218 1.5232
H 0.0000 0.0000 1.3499
```

Properties
Symmetry: Fmmm
Total DFT energy (no corrections), eV/atom: -2.820

[2]
NaH3Au: relaxed, GGA-PBE.

extended XYZ file:
```
10
Lattice="-5.0816 2.0740 1.4556 0.8978 -1.2327 4.8910 5.1258 2.6318 -0.2776" Properties=species:S:1:pos:R:3 pbc="T T T"
Au -1.2250 0.2309 4.3079
Au 2.1670 3.2421 1.7610
H 2.8452 2.5856 0.2291
H -2.3188 1.4580 3.5761
H 0.4436 3.2511 2.0796
H 0.4984 0.2219 3.9893
H -1.9032 0.8874 5.8398
H 3.2608 2.0151 2.4928
Na 0.1995 0.8639 1.5227
Na 0.7425 2.6091 4.5462
```

Properties
Symmetry: P2_1/m
Total DFT energy (no corrections), eV/atom: -2.909
Polymorph energy (0 for the lowest one), meV per atom: 160

[3]
Na2H6Au3: relaxed, GGA-PBE.

extended XYZ file:
```
22
Lattice="0.3184 -3.3485 2.2862 0.8846 -5.2012 -4.1237 11.2485 -1.4331 -0.0475" Properties=species:S:1:pos:R:3 pbc="T T T"
H 7.9716 -9.1019 -1.7825
H 2.0846 -7.0297 -1.5419
H 1.7461 -4.1129 -0.8382
H 7.4228 -6.2547 -1.1511
H 7.1076 -3.4707 -0.6473
H 5.3439 -6.5122 -1.2377
H 10.3669 -2.9531 -0.3432
H 11.2542 -8.7191 -1.6767
H 1.1974 -1.2637 -0.2083
H 10.7054 -5.8699 -1.0468
H 5.0288 -3.7281 -0.7340
H 4.4799 -0.8809 -0.1025
Au 8.7373 -3.2118 -0.4954
Au 3.3758 -3.9179 -0.7807
Au 9.0757 -6.0649 -1.1043
Au 9.6015 -8.9081 -1.7243
Au 3.7142 -6.7709 -1.3896
Au 2.8500 -1.0747 -0.1608
Na 0.8411 -5.3125 -2.4719
Na 11.6104 -4.6703 0.5869
Na 6.2690 -4.8803 -2.5943
Na 6.1826 -5.1025 0.7093
```

Properties
Symmetry: C2/m
Total DFT energy (no corrections), eV/atom: -2.992

[4]
NaH3Au: relaxed, GGA-PBE.

extended XYZ file:
```
10
Lattice="-14.7223 -1.5967 2.9193 -4.7205 -3.1486 2.3732 5.4338 2.7083 0.9835" Properties=species:S:1:pos:R:3 pbc="T T T"
H -8.6218 -2.4593 3.2927
H 1.9648 1.0157 1.4987
H -6.0379 -2.2463 2.7715
H -7.9710 0.2092 3.5045
H -5.3872 0.4223 2.9833
H -15.9737 -3.0528 4.7773
Na -0.2162 1.8497 2.0716
Na -13.7928 -3.8868 4.2044
Au -6.7629 1.3658 3.3994
Au -7.2461 -3.4029 2.8765
```

Properties
Symmetry: C2/m
Total DFT energy (no corrections), eV/atom: -2.900
Polymorph energy (0 for the lowest one), meV per atom: 169

[5]
NaH3Au: relaxed, GGA-PBE.

extended XYZ file:
```
10
Lattice="-5.5908 -0.8693 -0.8929 0.9474 -1.1918 3.2585 0.7171 6.4440 3.8762" Properties=species:S:1:pos:R:3 pbc="T T T"
Au 0.3063 4.6455 3.9506
Au -3.8602 0.7989 3.6990
Na -2.2610 3.3231 2.2052
Na 0.6074 -0.0618 2.3496
H -2.8663 0.3629 0.3727
H -0.5686 1.8849 1.3693
H -2.3871 -0.2412 0.3413
H -3.9533 4.7774 3.0309
H -1.0955 3.7795 4.0434
H -2.4393 1.6325 3.5950
```

Properties
Symmetry: P1
Total DFT energy (no corrections), eV/atom: -3.064
Polymorph energy (0 for the lowest one), meV per atom: 5

[6]
NaH3Au: relaxed, GGA-PBE.

extended XYZ file:
```
20
Lattice="16.4217 0.0000 -1.4918 0.0000 6.0400 0.0000 -5.7976 0.0000 2.9173" Properties=species:S:1:pos:R:3 pbc="T T T"
Au -1.7132 1.8347 1.6264
Au 9.3964 1.1853 -0.5781
Au 12.3374 4.2053 -0.2009
Au 1.2278 4.8547 2.0036
H -0.1972 5.7167 1.8134
H 2.1318 1.9191 2.1454
H 1.4456 4.5240 0.1864
H -2.6173 4.9392 1.4846
H 8.4923 4.1209 -0.7199
H 13.2415 1.1009 -0.0591
H 9.1786 1.5161 1.2391
H 3.8665 1.5039 0.5263
H 10.9124 3.3433 -0.3911
H 10.8214 0.3233 -0.3879
H -0.2883 2.6967 1.8166
H 6.7577 4.5361 0.8992
Na 6.4464 1.5038 0.8758
Na 1.1343 1.5162 0.1630
Na 4.1778 4.5362 0.5497
Na 9.4899 4.5238 1.2625
```

Properties
Symmetry: P2_1/c
Total DFT energy (no corrections), eV/atom: -3.007
Polymorph energy (0 for the lowest one), meV per atom: 61

[7]
NaH3Au: relaxed, GGA-PBE.

extended XYZ file:
```
10
Lattice="-3.2428 -3.5212 2.0320 2.7414 -2.0903 0.7137 -2.1900 3.4056 7.4266" Properties=species:S:1:pos:R:3 pbc="T T T"
H 1.1935 -0.9211 2.2880
H -2.9413 -1.9180 6.8674
H -1.5687 -2.2593 1.9197
H -1.4541 -1.7253 1.3913
H -1.2660 0.5354 7.5607
H -0.1560 -1.7783 4.9208
Na -0.7811 -0.1669 3.3743
Na -3.4340 0.3206 6.6523
Au -1.1050 -3.1134 4.6099
Au -0.4761 1.0798 6.2097
```

Properties
Symmetry: P1
Total DFT energy (no corrections), eV/atom: -3.057
Polymorph energy (0 for the lowest one), meV per atom: 12

[8]
NaH3Au: relaxed, GGA-PBE.

extended XYZ file:
```
10
Lattice="-0.1681 1.6726 3.3641 -2.4487 0.9439 -2.6937 -5.0674 -5.7336 2.5975" Properties=species:S:1:pos:R:3 pbc="T T T"
H -3.6999 -1.7063 2.7655
H -1.9264 0.9175 -0.5525
H -3.8005 -4.3002 1.9481
H -3.9842 -1.4108 0.5023
H -5.7577 -4.0347 3.8203
H -1.2668 -1.4334 0.6494
Na -2.1951 -0.0037 1.9942
Na -5.4890 -3.1134 1.2737
Au 0.0000 0.0000 0.0000
Au -2.5337 -2.8668 1.2987
```

Properties
Symmetry: P6_3/mmc
Total DFT energy (no corrections), eV/atom: -2.627
Polymorph energy (0 for the lowest one), meV per atom: 442